## i
Material: OsWC3
Method: DFT, PBE
State: relaxed

POSCAR file:
```
OsWC3
1.0
4.010 0.000 0.000
0.000 4.010 0.000
0.000 0.000 4.010
Os W C
1 1 3
direct
0.000 0.000 0.000
0.500 0.500 0.500
0.000 0.500 0.500
0.500 0.000 0.500
0.500 0.500 0.000
```

Output
Calculated volume ... 12.9 Å³/atom
Density of states at the Fermi level ... 4.3 states/eV/f.u.
Space-group type ... Pm-3m, No. 221
Theoretical density ... 10.6 Mg/m³


## ii
Material: OsWC3
Method: DFT, PBE
State: relaxed

POSCAR file:
```
OsWC3
1.0
3.916 0.000 0.000
0.000 3.916 0.000
0.000 0.000 3.916
Os W C
1 1 3
direct
0.000 0.000 0.000
0.500 0.500 0.500
0.000 0.000 0.500
0.000 0.500 0.000
0.500 0.000 0.000
```

Output
Calculated volume ... 12.0 Å³/atom
Density of states at the Fermi level ... 6.7 states/eV/f.u.
Space-group type ... Pm-3m, No. 221
Theoretical density ... 11.3 Mg/m³


Ranking the structures above by energy, ii is first and the second is 0.123 eV/atom behind.